#A
The following is a DFT calculation (GGA-PBE) of crystalline Dy2SeS2 at its relaxed geometry.

Lattice parameters (Å, degrees): 10.524 10.524 6.983 90.00 90.00 157.89
Sites, in units of the cell vectors:
Dy (0.160, 0.840, 0.500)
Dy (0.339, 0.661, 0.505)
Dy (0.661, 0.339, 0.005)
Dy (0.840, 0.160, 0.000)
Se (0.091, 0.909, 0.837)
Se (0.909, 0.091, 0.337)
S (0.250, 0.750, 0.169)
S (0.399, 0.601, 0.836)
S (0.601, 0.399, 0.336)
S (0.750, 0.250, 0.669)

Properties
- magnetization (μB per formula unit) = 0.00
- calculated volume (Å³/cell) = 291.0
- DOS at the Fermi energy (states/eV per cell) = 0.000

#B
The following is a DFT calculation (GGA-PBE) of crystalline Dy2SeS2 at its relaxed geometry.

Lattice parameters (Å, degrees): 7.232 7.232 7.232 147.54 136.28 55.50
Sites, in units of the cell vectors:
Dy (0.160, 0.160, 0.000)
Dy (0.840, 0.840, 0.000)
Se (0.000, 0.500, 0.500)
S (0.303, 0.803, 0.500)
S (0.697, 0.197, 0.500)

Properties
- magnetization (μB per formula unit) = 0.00
- calculated volume (Å³/cell) = 139.4
- DOS at the Fermi energy (states/eV per cell) = 0.000

What is the stability order? It is #B, #A, from most stable to least stable.

#A
The following is a DFT calculation (GGA-PBE) of crystalline Dy3SiS2 at its relaxed geometry.

Lattice parameters (Å, degrees): 7.591 7.591 6.409 90.00 90.00 89.59
Sites, in units of the cell vectors:
Dy (0.104, 0.896, 0.750)
Dy (0.259, 0.431, 0.750)
Dy (0.431, 0.259, 0.250)
Dy (0.569, 0.741, 0.750)
Dy (0.741, 0.569, 0.250)
Dy (0.896, 0.104, 0.250)
Si (0.373, 0.627, 0.250)
Si (0.627, 0.373, 0.750)
S (0.167, 0.167, 0.000)
S (0.167, 0.167, 0.500)
S (0.833, 0.833, 0.000)
S (0.833, 0.833, 0.500)

Properties
- magnetization (μB per formula unit) = 0.00
- calculated volume (Å³/cell) = 369.3
- DOS at the Fermi energy (states/eV per cell) = 6.039

#B
The following is a DFT calculation (GGA-PBE) of crystalline Dy3SiS2 at its relaxed geometry.

Lattice parameters (Å, degrees): 6.904 6.904 6.904 146.28 131.82 60.10
Sites, in units of the cell vectors:
Dy (0.000, 0.000, 0.000)
Dy (0.335, 0.335, 0.000)
Dy (0.665, 0.665, 0.000)
Si (0.500, 0.000, 0.500)
S (0.167, 0.667, 0.500)
S (0.833, 0.333, 0.500)

Properties
- magnetization (μB per formula unit) = 0.00
- calculated volume (Å³/cell) = 134.9
- DOS at the Fermi energy (states/eV per cell) = 1.673

What is the stability order? It is #B, #A, from most stable to least stable.